Below is CePr2Th after structural relaxation, with properties calculated at the PBE level. Values from VASP.

Cell and atoms, written as Quantum ESPRESSO input:
```
&SYSTEM
  ibrav = 0, nat = 4, ntyp = 3
/
ATOMIC_SPECIES
Ce 140.12 Ce.upf
Pr 140.91 Pr.upf
Th 232.04 Th.upf
CELL_PARAMETERS angstrom
-4.369 -1.423 -3.480
1.030 -2.864 -4.895
-1.604 -5.513 -0.505
ATOMIC_POSITIONS angstrom
Ce -2.472 -4.901 -4.440
Pr -1.236 -2.450 -2.220
Pr -3.707 -7.351 -6.659
Th 0.000 0.000 0.000
```

Computed properties:
* energy of formation: 0.2596 eV per atom
* total moment: 0.25 μB per atom
* energy above the most stable polymorph in this dataset: 157 meV per atom
* calculated total energy: -5.469 eV/atom